1.
Below is an optimized crystal structure of Ta2CoIr, with properties calculated at the PBE level.

```
Ta2CoIr
1.0
-2.012 2.012 3.767
2.012 -2.012 3.767
2.012 2.012 -3.767
Ta Co Ir
2 1 1
direct
0.250 0.750 0.500 Ta
0.750 0.250 0.500 Ta
0.000 0.000 0.000 Co
0.500 0.500 0.000 Ir
```

Properties
**Energy of formation**: -349 meV/atom
**M_tot**: 0.00 μB/cell
**Calculated total energy**: -41.07 eV per cell

=====

2.
Below is an optimized crystal structure of Na3SeBr6, with properties calculated at the PBE level.

```
Na3SeBr6
1.0
7.200 0.000 0.000
0.000 7.570 0.000
-5.821 0.000 11.351
Na Se Br
6 2 12
direct
0.000 0.000 0.000 Na
0.000 0.500 0.500 Na
0.278 0.099 0.762 Na
0.278 0.401 0.262 Na
0.722 0.599 0.738 Na
0.722 0.901 0.238 Na
0.500 0.000 0.500 Se
0.500 0.500 0.000 Se
0.098 0.051 0.243 Br
0.098 0.449 0.743 Br
0.301 0.678 0.092 Br
0.301 0.822 0.592 Br
0.401 0.208 0.067 Br
0.401 0.292 0.567 Br
0.599 0.708 0.433 Br
0.599 0.792 0.933 Br
0.699 0.178 0.408 Br
0.699 0.322 0.908 Br
0.902 0.551 0.257 Br
0.902 0.949 0.757 Br
```

Properties
**M_tot**: 2.00 μB/cell
**Calculated total energy**: -52.90 eV per cell
**Energy relative to the elements, uncorrected**: -0.90 eV per atom

=====

3.
Below is an optimized crystal structure of TeMo3H, with properties calculated at the PBE level.

```
TeMo3H
1.0
4.933 0.000 0.000
0.000 4.933 0.000
0.000 0.000 4.933
Te Mo H
1 3 1
direct
0.000 0.000 0.000 Te
0.000 0.000 0.500 Mo
0.000 0.500 0.000 Mo
0.500 0.000 0.000 Mo
0.500 0.500 0.500 H
```

Properties
**Energy above the lowest structure with this stoichiometry**: 2168.2 meV/atom
**M_tot**: 1.52 μB/cell
**Calculated total energy**: -25.77 eV per cell

=====

4.
Below is an optimized crystal structure of BaTeO2, with properties calculated at the PBE level.

```
BaTeO2
1.0
-2.577 2.577 6.841
2.577 -2.577 6.841
2.577 2.577 -6.841
Ba Te O
2 2 4
direct
0.000 0.000 0.000 Ba
0.750 0.250 0.500 Ba
0.250 0.750 0.500 Te
0.500 0.500 0.000 Te
0.195 0.625 0.070 O
0.375 0.445 0.570 O
0.555 0.125 0.930 O
0.875 0.805 0.430 O
```

Properties
**Energy above the lowest structure with this stoichiometry**: 317.4 meV/atom
**M_tot**: 0.00 μB/cell
**Calculated total energy**: -39.81 eV per cell
**Energy relative to the elements, uncorrected**: -1.23 eV per atom

=====

5.
Below is an optimized crystal structure of Cd2CuAs, with properties calculated at the PBE level.

```
Cd2CuAs
1.0
-2.136 2.136 4.195
2.136 -2.136 4.195
2.136 2.136 -4.195
Cd Cu As
2 1 1
direct
0.250 0.750 0.500 Cd
0.750 0.250 0.500 Cd
0.000 0.000 0.000 Cu
0.500 0.500 0.000 As
```

Properties
**Energy of formation**: 181 meV/atom
**M_tot**: 0.00 μB/cell
**Calculated total energy**: -9.85 eV per cell

=====

6.
Below is an optimized crystal structure of Ce2PaCr2N6, with properties calculated at the PBE level.

```
Ce2PaCr2N6
1.0
2.810 1.622 5.851
-2.810 1.622 5.851
0.000 -3.244 5.851
Ce Pa Cr N
2 1 2 6
direct
0.209 0.209 0.209 Ce
0.791 0.791 0.791 Ce
0.000 0.000 0.000 Pa
0.403 0.403 0.403 Cr
0.597 0.597 0.597 Cr
0.229 0.744 0.744 N
0.256 0.256 0.771 N
0.256 0.771 0.256 N
0.744 0.229 0.744 N
0.744 0.744 0.229 N
0.771 0.256 0.256 N
```

Properties
**M_tot**: 2.22 μB/cell
**Calculated total energy**: -100.70 eV per cell
**Energy relative to the elements, uncorrected**: -0.92 eV per atom

=====

7.
Below is an optimized crystal structure of TbSm2Y5Ho, with properties calculated at the PBE level.

```
TbSm2Y5Ho
1.0
-4.344 4.344 7.772
4.344 -4.344 7.772
4.344 4.344 -7.772
Tb Sm Y Ho
2 4 10 2
direct
0.250 0.250 0.000 Tb
0.750 0.750 0.000 Tb
0.117 0.617 0.733 Sm
0.383 0.117 0.500 Sm
0.617 0.883 0.500 Sm
0.883 0.383 0.267 Sm
0.000 0.000 0.000 Y
0.071 0.153 0.500 Y
0.153 0.653 0.082 Y
0.347 0.429 0.500 Y
0.429 0.929 0.082 Y
0.500 0.500 0.000 Y
0.571 0.071 0.918 Y
0.653 0.571 0.500 Y
0.847 0.347 0.918 Y
0.929 0.847 0.500 Y
0.250 0.750 0.500 Ho
0.750 0.250 0.500 Ho
```

Properties
**Energy of formation**: 266 meV/atom
**M_tot**: 0.00 μB/cell
**Calculated total energy**: -97.15 eV per cell

=====

8.
Below is an optimized crystal structure of SrEuAg4, with properties calculated at the PBE level.

```
SrEuAg4
1.0
0.000 4.179 4.179
4.179 0.000 4.179
4.179 4.179 0.000
Sr Eu Ag
1 1 4
direct
0.000 0.000 0.000 Sr
0.250 0.250 0.250 Eu
0.125 0.625 0.625 Ag
0.625 0.125 0.625 Ag
0.625 0.625 0.125 Ag
0.625 0.625 0.625 Ag
```

Properties
**Energy of formation**: -199 meV/atom
**M_tot**: 8.01 μB/cell
**Calculated total energy**: -24.55 eV per cell

=====

9.
Below is an optimized crystal structure of LiZrBr2, with properties calculated at the PBE level.

```
LiZrBr2
1.0
-3.223 3.223 5.021
3.223 -3.223 5.021
3.223 3.223 -5.021
Li Zr Br
2 2 4
direct
0.000 0.000 0.000 Li
0.750 0.250 0.500 Li
0.250 0.750 0.500 Zr
0.500 0.500 0.000 Zr
0.089 0.625 0.964 Br
0.375 0.339 0.464 Br
0.661 0.125 0.036 Br
0.875 0.911 0.536 Br
```

Properties
**Energy above the lowest structure with this stoichiometry**: 347.3 meV/atom
**M_tot**: 2.03 μB/cell
**Calculated total energy**: -31.52 eV per cell
**Energy relative to the elements, uncorrected**: -0.49 eV per atom

=====

10.
Below is an optimized crystal structure of TlAgTe2S4, with properties calculated at the PBE level.

```
TlAgTe2S4
1.0
-3.405 3.513 4.647
3.405 -3.513 4.647
3.405 3.513 -4.647
Tl Ag Te S
1 1 2 4
direct
0.000 0.000 0.000 Tl
0.500 0.500 0.000 Ag
0.231 0.731 0.500 Te
0.769 0.269 0.500 Te
0.139 0.113 0.567 S
0.454 0.887 0.026 S
0.546 0.572 0.433 S
0.861 0.428 0.974 S
```

Properties
**M_tot**: 0.00 μB/cell
**Calculated total energy**: -27.78 eV per cell
**Energy relative to the elements, uncorrected**: 0.03 eV per atom

=====

11.
Below is an optimized crystal structure of CeSmTiN3, with properties calculated at the PBE level.

```
CeSmTiN3
1.0
7.299 0.000 0.000
0.000 3.573 0.000
-0.891 0.000 7.780
Ce Sm Ti N
2 2 2 6
direct
0.162 0.250 0.158 Ce
0.838 0.750 0.842 Ce
0.370 0.750 0.833 Sm
0.630 0.250 0.167 Sm
0.098 0.250 0.599 Ti
0.902 0.750 0.401 Ti
0.110 0.250 0.850 N
0.165 0.750 0.521 N
0.378 0.750 0.135 N
0.622 0.250 0.865 N
0.835 0.250 0.479 N
0.890 0.750 0.150 N
```

Properties
**M_tot**: 1.55 μB/cell
**Calculated total energy**: -102.23 eV per cell
**Energy relative to the elements, uncorrected**: -1.26 eV per atom

=====

12.
Below is an optimized crystal structure of Li2Cd2IO6, with properties calculated at the PBE level.

```
Li2Cd2IO6
1.0
2.893 -5.000 0.000
2.893 5.000 0.000
-1.348 0.000 5.186
Li Cd I O
2 2 1 6
direct
0.135 0.865 0.000 Li
0.865 0.135 0.000 Li
0.337 0.663 0.500 Cd
0.663 0.337 0.500 Cd
0.000 0.000 0.500 I
0.040 0.336 0.721 O
0.226 0.226 0.269 O
0.336 0.040 0.721 O
0.664 0.960 0.279 O
0.774 0.774 0.731 O
0.960 0.664 0.279 O
```

Properties
**M_tot**: 0.59 μB/cell
**Calculated total energy**: -48.05 eV per cell
**Energy relative to the elements, uncorrected**: -1.01 eV per atom